No. 1
A plane-wave DFT calculation with PBE was carried out for an optimized crystal structure of ZrZn4.

Results
DFT total energy in eV/atom: -1.707
Energy of formation in eV/atom: 1.02

Cell lengths 5.329, 5.329, 5.329 Å; angles 90.00, 90.00, 90.00 degrees
Positions (direct):
Zr 0.000 0.000 0.000
Zn 0.000 0.000 0.500
Zn 0.000 0.500 0.000
Zn 0.500 0.000 0.000
Zn 0.500 0.500 0.500



No. 2
A plane-wave DFT calculation with PBE was carried out for an optimized crystal structure of Zr8Zn.

Results
DFT total energy in eV/atom: -7.759
Energy of formation in eV/atom: -0.02

Cell lengths 7.146, 7.146, 7.146 Å; angles 95.24, 95.24, 144.83 degrees
Positions (direct):
Zr 0.000 0.331 0.331
Zr 0.000 0.669 0.669
Zr 0.331 0.000 0.331
Zr 0.336 0.336 0.672
Zr 0.336 0.664 0.000
Zr 0.664 0.336 0.000
Zr 0.664 0.664 0.328
Zr 0.669 0.000 0.669
Zn 0.000 0.000 0.000



No. 3
A plane-wave DFT calculation with PBE was carried out for an optimized crystal structure of ZrZn4.

Results
DFT total energy in eV/atom: -2.703
Energy of formation in eV/atom: 0.03

Cell lengths 2.948, 2.948, 22.468 Å; angles 90.00, 90.00, 120.00 degrees
Positions (direct):
Zr 0.333 0.667 0.065
Zr 0.667 0.333 0.935
Zn 0.333 0.667 0.268
Zn 0.333 0.667 0.454
Zn 0.333 0.667 0.638
Zn 0.333 0.667 0.826
Zn 0.667 0.333 0.174
Zn 0.667 0.333 0.362
Zn 0.667 0.333 0.546
Zn 0.667 0.333 0.732



No. 4
A plane-wave DFT calculation with PBE was carried out for an optimized crystal structure of ZrZn3.

Results
DFT total energy in eV/atom: -3.371
Energy of formation in eV/atom: -0.28

Cell lengths 5.902, 5.902, 4.379 Å; angles 90.00, 90.00, 120.00 degrees
Positions (direct):
Zr 0.333 0.667 0.250
Zr 0.667 0.333 0.750
Zn 0.158 0.316 0.750
Zn 0.158 0.842 0.750
Zn 0.316 0.158 0.250
Zn 0.684 0.842 0.750
Zn 0.842 0.158 0.250
Zn 0.842 0.684 0.250



Look up the energy of formation of the fourth one. -0.28 eV/atom



Among the records above, which one has the lowest energy of formation? ZrZn3



Which of these has the highest DFT total energy? number 1



The highest DFT total energy belongs to which entry? number 1